[1]
First-principles (PBE) data for a relaxed PmPaPN crystal, as listed in Alexandria via LeMat-Bulk.

Output
crystal system = trigonal
raw total energy = -0.619 Ry per atom
uncorrected formation energy = -1.429 eV/atom
D(E_F) = 0.3282 states/eV per atom

abc: 3.7650 3.7650 18.9376
angles: 90.00 90.00 120.00
Space group R3m (No. 160, hexagonal axes)
One atom of each set of equivalent atoms:
Pm: 0.0000 0.0000 0.0000 [3 per cell]
Pa: 0.0000 0.0000 0.5213 [3 per cell]
P: 0.0000 0.0000 0.7637 [3 per cell]
N: 0.0000 0.0000 0.2450 [3 per cell]

[2]
First-principles (PBE) data for a relaxed CdCo2Ag crystal, as listed in Alexandria via LeMat-Bulk.

Output
ΔH_f (0 K) = 0.329 eV per atom
crystal system = orthorhombic
raw total energy = -0.306 Ry per atom
D(E_F) = 0.9616 states/eV per atom

abc: 2.984 4.571 8.951
angles: 90.00 90.00 90.00
Space group Imm2 (No. 44)
One atom of each set of equivalent atoms:
Cd: 0.000 0.000 0.000 [2 per cell]
Co: 0.000 0.000 0.458 [2 per cell]
Co: 0.000 0.500 0.766 [2 per cell]
Ag: 0.000 0.500 0.220 [2 per cell]

[3]
First-principles (PBE) data for a relaxed VCo3N crystal, as listed in Alexandria via LeMat-Bulk.

Output
crystal system = cubic
raw total energy = -0.566 Ry per atom
uncorrected formation energy = 0.056 eV/atom
energy above the lowest structure with this stoichiometry = 0.0 meV/atom
D(E_F) = 1.3247 states/eV per atom

abc: 3.756 3.756 3.756
angles: 90.00 90.00 90.00
Space group Pm-3m (No. 221)
One atom of each set of equivalent atoms:
V: 0.000 0.000 0.000 [1 per cell]
Co: 0.000 0.500 0.500 [3 per cell]
N: 0.500 0.500 0.500 [1 per cell]

[4]
First-principles (PBE) data for a relaxed PmTmGaGe crystal, as listed in Alexandria via LeMat-Bulk.

Output
ΔH_f (0 K) = -0.763 eV per atom
crystal system = orthorhombic
raw total energy = -0.366 Ry per atom
energy above the lowest structure with this stoichiometry = 0.0 meV/atom
D(E_F) = 0.7844 states/eV per atom

abc: 4.028 4.354 10.895
angles: 90.00 90.00 90.00
Space group Amm2 (No. 38)
One atom of each set of equivalent atoms:
Pm: 0.000 0.000 0.000 [2 per cell]
Tm: 0.500 0.000 0.279 [2 per cell]
Ga: 0.500 0.000 0.564 [2 per cell]
Ge: 0.000 0.000 0.721 [2 per cell]

[5]
First-principles (PBE) data for a relaxed RbS2ClF crystal, as listed in Alexandria via LeMat-Bulk.

Output
crystal system = tetragonal
raw total energy = -0.202 Ry per atom
uncorrected formation energy = -0.154 eV/atom
energy above the lowest structure with this stoichiometry = 0.0 meV/atom
D(E_F) = 0.9607 states/eV per atom

abc: 4.356 4.356 6.893
angles: 90.00 90.00 90.00
Space group P4/mmm (No. 123)
One atom of each set of equivalent atoms:
Rb: 0.000 0.000 0.000 [1 per cell]
S: 0.000 0.500 0.500 [2 per cell]
Cl: 0.500 0.500 0.000 [1 per cell]
F: 0.500 0.500 0.500 [1 per cell]

[6]
First-principles (PBE) data for a relaxed PmP2OsRu crystal, as listed in Alexandria via LeMat-Bulk.

Output
ΔH_f (0 K) = -0.883 eV per atom
crystal system = tetragonal
raw total energy = -0.595 Ry per atom
D(E_F) = 0.3136 states/eV per atom

abc: 4.089 4.089 9.854
angles: 90.00 90.00 90.00
Space group I-4m2 (No. 119)
One atom of each set of equivalent atoms:
Pm: 0.000 0.000 0.000 [2 per cell]
P: 0.000 0.000 0.370 [4 per cell]
Os: 0.000 0.500 0.250 [2 per cell]
Ru: 0.000 0.500 0.750 [2 per cell]

[7]
First-principles (PBE) data for a relaxed RePbO3 crystal, as listed in Alexandria via LeMat-Bulk.

Output
crystal system = cubic
raw total energy = -0.410 Ry per atom
uncorrected formation energy = 0.629 eV/atom
D(E_F) = 0.5268 states/eV per atom

abc: 4.199 4.199 4.199
angles: 90.00 90.00 90.00
Space group Pm-3m (No. 221)
One atom of each set of equivalent atoms:
Re: 0.000 0.000 0.000 [1 per cell]
Pb: 0.500 0.500 0.500 [1 per cell]
O: 0.000 0.500 0.500 [3 per cell]

[8]
First-principles (PBE) data for a relaxed Ce5Th2Tl4 crystal, as listed in Alexandria via LeMat-Bulk.

Output
ΔH_f (0 K) = -0.025 eV per atom
crystal system = monoclinic
raw total energy = -0.363 Ry per atom
D(E_F) = 2.3292 states/eV per atom

abc: 8.633 3.345 11.180
angles: 90.00 100.25 90.00
Space group P2/m (No. 10)
One atom of each set of equivalent atoms:
Ce: 0.000 0.000 0.000 [1 per cell]
Ce: 0.012 0.000 0.312 [2 per cell]
Ce: 0.287 0.000 0.820 [2 per cell]
Th: 0.417 0.000 0.343 [2 per cell]
Tl: 0.244 0.500 0.548 [2 per cell]
Tl: 0.342 0.500 0.086 [2 per cell]

[9]
First-principles (PBE) data for a relaxed SrCuP2O6 crystal, as listed in Alexandria via LeMat-Bulk.

Output
crystal system = trigonal
raw total energy = -0.473 Ry per atom
uncorrected formation energy = -1.795 eV/atom
D(E_F) = 0.1424 states/eV per atom

abc: 5.3135 5.3135 17.3667
angles: 90.00 90.00 120.00
Space group R-3 (No. 148, hexagonal axes)
One atom of each set of equivalent atoms:
Sr: 0.0000 0.0000 0.0000 [3 per cell]
Cu: 0.0000 0.0000 0.5000 [3 per cell]
P: 0.0000 0.0000 0.2558 [6 per cell]
O: 0.0329 0.6332 0.9068 [18 per cell]

[10]
First-principles (PBE) data for a relaxed HoTmInIr crystal, as listed in Alexandria via LeMat-Bulk.

Output
ΔH_f (0 K) = -0.583 eV per atom
crystal system = cubic
raw total energy = -0.422 Ry per atom
D(E_F) = 0.5420 states/eV per atom

abc: 7.114 7.114 7.114
angles: 90.00 90.00 90.00
Space group F-43m (No. 216)
One atom of each set of equivalent atoms:
Ho: 0.000 0.000 0.000 [4 per cell]
Tm: 0.000 0.000 0.500 [4 per cell]
In: 0.250 0.250 0.750 [4 per cell]
Ir: 0.250 0.250 0.250 [4 per cell]

[11]
First-principles (PBE) data for a relaxed Cs2SiPPd crystal, as listed in Alexandria via LeMat-Bulk.

Output
crystal system = tetragonal
raw total energy = -0.232 Ry per atom
uncorrected formation energy = 0.396 eV/atom
D(E_F) = 0.9725 states/eV per atom

abc: 6.968 6.968 4.370
angles: 90.00 90.00 90.00
Space group P4/mmm (No. 123)
One atom of each set of equivalent atoms:
Cs: 0.000 0.500 0.000 [2 per cell]
Si: 0.000 0.000 0.500 [1 per cell]
P: 0.000 0.000 0.000 [1 per cell]
Pd: 0.500 0.500 0.500 [1 per cell]

[12]
First-principles (PBE) data for a relaxed BPbF2 crystal, as listed in Alexandria via LeMat-Bulk.

Output
crystal system = trigonal
raw total energy = -0.322 Ry per atom
uncorrected formation energy = -0.853 eV/atom
energy above the lowest structure with this stoichiometry = 0.0 meV/atom
D(E_F) = 0.7367 states/eV per atom

abc: 3.2291 3.2291 31.7089
angles: 90.00 90.00 120.00
Space group R-3m (No. 166, hexagonal axes)
One atom of each set of equivalent atoms:
B: 0.0000 0.0000 0.0000 [3 per cell]
Pb: 0.0000 0.0000 0.5000 [3 per cell]
F: 0.0000 0.0000 0.0416 [6 per cell]

[13]
First-principles (PBE) data for a relaxed KTc2 crystal, as listed in Alexandria via LeMat-Bulk.

Output
ΔH_f (0 K) = 0.573 eV per atom
crystal system = orthorhombic
raw total energy = -0.493 Ry per atom
energy above the lowest structure with this stoichiometry = 0.0 meV/atom
D(E_F) = 1.3429 states/eV per atom

abc: 2.922 25.468 4.136
angles: 90.00 90.00 90.00
Space group Cmcm (No. 63)
One atom of each set of equivalent atoms:
K: 0.000 0.168 0.250 [4 per cell]
Tc: 0.000 0.059 0.750 [4 per cell]
Tc: 0.000 0.470 0.750 [4 per cell]

[14]
First-principles (PBE) data for a relaxed Pr4HgIrI2 crystal, as listed in Alexandria via LeMat-Bulk.

Output
crystal system = monoclinic
raw total energy = -0.347 Ry per atom
uncorrected formation energy = -0.801 eV/atom
D(E_F) = 0.6874 states/eV per atom

abc: 7.820 4.246 8.575
angles: 90.00 107.31 90.00
Space group P2/m (No. 10)
One atom of each set of equivalent atoms:
Pr: 0.220 0.000 0.190 [2 per cell]
Pr: 0.224 0.500 0.801 [2 per cell]
Hg: 0.500 0.000 0.000 [1 per cell]
Ir: 0.000 0.500 0.000 [1 per cell]
I: 0.000 0.000 0.500 [1 per cell]
I: 0.500 0.500 0.500 [1 per cell]

[15]
First-principles (PBE) data for a relaxed LiRuS2N crystal, as listed in Alexandria via LeMat-Bulk.

Output
crystal system = tetragonal
raw total energy = -0.318 Ry per atom
uncorrected formation energy = 1.232 eV/atom
energy above the lowest structure with this stoichiometry = 1080.3 meV/atom
D(E_F) = 0.9117 states/eV per atom

abc: 4.395 4.395 3.362
angles: 90.00 90.00 90.00
Space group P4/mmm (No. 123)
One atom of each set of equivalent atoms:
Li: 0.000 0.000 0.000 [1 per cell]
Ru: 0.500 0.500 0.500 [1 per cell]
S: 0.000 0.500 0.000 [2 per cell]
N: 0.000 0.000 0.500 [1 per cell]

[16]
First-principles (PBE) data for a relaxed Pr2Mg3Pb3 crystal, as listed in Alexandria via LeMat-Bulk.

Output
ΔH_f (0 K) = -0.363 eV per atom
crystal system = orthorhombic
raw total energy = -0.261 Ry per atom
D(E_F) = 0.5857 states/eV per atom

abc: 4.822 4.931 9.287
angles: 90.00 90.00 90.00
Space group Pmmm (No. 47)
One atom of each set of equivalent atoms:
Pr: 0.000 0.000 0.247 [2 per cell]
Mg: 0.000 0.500 0.500 [1 per cell]
Mg: 0.500 0.500 0.257 [2 per cell]
Pb: 0.000 0.500 0.000 [1 per cell]
Pb: 0.500 0.000 0.000 [1 per cell]
Pb: 0.500 0.000 0.500 [1 per cell]

[17]
First-principles (PBE) data for a relaxed ZrIn2Sb crystal, as listed in Alexandria via LeMat-Bulk.

Output
crystal system = tetragonal
raw total energy = -0.346 Ry per atom
uncorrected formation energy = -0.165 eV/atom
D(E_F) = 0.6817 states/eV per atom

abc: 4.255 4.255 10.585
angles: 90.00 90.00 90.00
Space group I4/mmm (No. 139)
One atom of each set of equivalent atoms:
Zr: 0.000 0.000 0.000 [2 per cell]
In: 0.000 0.500 0.250 [4 per cell]
Sb: 0.000 0.000 0.500 [2 per cell]

[18]
First-principles (PBE) data for a relaxed PmPu2In crystal, as listed in Alexandria via LeMat-Bulk.

Output
ΔH_f (0 K) = -0.102 eV per atom
crystal system = tetragonal
raw total energy = -0.672 Ry per atom
energy above the lowest structure with this stoichiometry = 0.0 meV/atom
D(E_F) = 2.8363 states/eV per atom

abc: 4.606 4.606 5.176
angles: 90.00 90.00 90.00
Space group P4/mmm (No. 123)
One atom of each set of equivalent atoms:
Pm: 0.000 0.000 0.000 [1 per cell]
Pu: 0.000 0.500 0.500 [2 per cell]
In: 0.500 0.500 0.000 [1 per cell]

[19]
First-principles (PBE) data for a relaxed TbPm2NpO8 crystal, as listed in Alexandria via LeMat-Bulk.

Output
crystal system = monoclinic
raw total energy = -0.640 Ry per atom
uncorrected formation energy = -3.150 eV/atom
D(E_F) = 0.0469 states/eV per atom

abc: 3.923 7.550 5.514
angles: 90.00 94.30 90.00
Space group P2/m (No. 10)
One atom of each set of equivalent atoms:
Tb: 0.000 0.000 0.000 [1 per cell]
Pm: 0.500 0.242 0.500 [2 per cell]
Np: 0.000 0.500 0.000 [1 per cell]
O: 0.031 0.279 0.769 [4 per cell]
O: 0.449 0.500 0.218 [2 per cell]
O: 0.498 0.000 0.248 [2 per cell]

[20]
First-principles (PBE) data for a relaxed NaICl3 crystal, as listed in Alexandria via LeMat-Bulk.

Output
crystal system = cubic
raw total energy = -0.160 Ry per atom
uncorrected formation energy = -0.499 eV/atom
energy above the lowest structure with this stoichiometry = 286.4 meV/atom
D(E_F) = 0.2572 states/eV per atom

abc: 5.633 5.633 5.633
angles: 90.00 90.00 90.00
Space group Pm-3m (No. 221)
One atom of each set of equivalent atoms:
Na: 0.000 0.000 0.000 [1 per cell]
I: 0.500 0.500 0.500 [1 per cell]
Cl: 0.000 0.500 0.500 [3 per cell]

[21]
First-principles (PBE) data for a relaxed SrLi4Au4 crystal, as listed in Alexandria via LeMat-Bulk.

Output
ΔH_f (0 K) = -0.503 eV per atom
crystal system = tetragonal
raw total energy = -0.220 Ry per atom
D(E_F) = 0.3491 states/eV per atom

abc: 8.415 8.415 4.726
angles: 90.00 90.00 90.00
Space group I4/m (No. 87)
One atom of each set of equivalent atoms:
Sr: 0.000 0.000 0.000 [2 per cell]
Li: 0.075 0.371 0.000 [8 per cell]
Au: 0.138 0.244 0.500 [8 per cell]

[22]
First-principles (PBE) data for a relaxed GaSbAu crystal, as listed in Alexandria via LeMat-Bulk.

Output
crystal system = monoclinic
raw total energy = -0.259 Ry per atom
uncorrected formation energy = -0.054 eV/atom
energy above the lowest structure with this stoichiometry = 26.7 meV/atom
D(E_F) = 0.3502 states/eV per atom

abc: 7.082 11.093 4.275
angles: 90.00 125.96 90.00
Space group C2 (No. 5)
One atom of each set of equivalent atoms:
Ga: 0.000 0.000 0.000 [2 per cell]
Ga: 0.000 0.157 0.500 [2 per cell]
Sb: 0.000 0.479 0.500 [2 per cell]
Sb: 0.000 0.812 0.500 [2 per cell]
Au: 0.000 0.297 0.000 [2 per cell]
Au: 0.000 0.648 0.000 [2 per cell]

[23]
First-principles (PBE) data for a relaxed Zn2Cd2GePt5 crystal, as listed in Alexandria via LeMat-Bulk.

Output
ΔH_f (0 K) = -0.323 eV per atom
crystal system = tetragonal
raw total energy = -0.312 Ry per atom
D(E_F) = 0.3525 states/eV per atom

abc: 9.439 9.439 3.740
angles: 90.00 90.00 90.00
Space group P4/mbm (No. 127)
One atom of each set of equivalent atoms:
Zn: 0.128 0.372 0.000 [4 per cell]
Cd: 0.170 0.670 0.000 [4 per cell]
Ge: 0.000 0.000 0.000 [2 per cell]
Pt: 0.000 0.500 0.500 [2 per cell]
Pt: 0.082 0.192 0.500 [8 per cell]

[24]
First-principles (PBE) data for a relaxed Mg3P crystal, as listed in Alexandria via LeMat-Bulk.

Output
ΔH_f (0 K) = -0.173 eV per atom
crystal system = orthorhombic
raw total energy = -0.200 Ry per atom
D(E_F) = 0.3826 states/eV per atom

abc: 3.409 4.053 12.355
angles: 90.00 90.00 90.00
Space group Immm (No. 71)
One atom of each set of equivalent atoms:
Mg: 0.000 0.000 0.000 [2 per cell]
Mg: 0.000 0.500 0.183 [4 per cell]
P: 0.000 0.000 0.500 [2 per cell]

[25]
First-principles (PBE) data for a relaxed ThZn2Pt2 crystal, as listed in Alexandria via LeMat-Bulk.

Output
ΔH_f (0 K) = -0.833 eV per atom
crystal system = tetragonal
raw total energy = -0.385 Ry per atom
D(E_F) = 0.5061 states/eV per atom

abc: 3.898 3.898 12.764
angles: 90.00 90.00 90.00
Space group I4/mmm (No. 139)
One atom of each set of equivalent atoms:
Th: 0.000 0.000 0.000 [2 per cell]
Zn: 0.000 0.500 0.250 [4 per cell]
Pt: 0.000 0.000 0.392 [4 per cell]

[26]
First-principles (PBE) data for a relaxed Pm2Si5Ni crystal, as listed in Alexandria via LeMat-Bulk.

Output
crystal system = tetragonal
raw total energy = -0.422 Ry per atom
uncorrected formation energy = -0.437 eV/atom
D(E_F) = 0.2744 states/eV per atom

abc: 5.630 5.630 9.656
angles: 90.00 90.00 90.00
Space group I4mm (No. 107)
One atom of each set of equivalent atoms:
Pm: 0.000 0.500 0.000 [4 per cell]
Si: 0.000 0.000 0.421 [2 per cell]
Si: 0.225 0.225 0.242 [8 per cell]
Ni: 0.000 0.000 0.813 [2 per cell]